DFT (GGA-PBE) results for an optimized crystal structure of Rb2SnGe.

Cell and atoms, written as POSCAR:
```
Rb2SnGe
1.0
-6.741 6.741 2.664
6.741 -6.741 2.664
6.741 6.741 -2.664
Rb Sn Ge
4 2 2
Cartesian
0.733 3.370 0.666 Rb
-3.370 6.008 1.998 Rb
-0.733 10.111 0.666 Rb
3.370 7.474 1.998 Rb
6.741 0.000 1.332 Sn
0.000 0.000 2.664 Sn
0.000 0.000 0.000 Ge
0.000 6.741 1.332 Ge
```

The energy relative to the elements comes out at 56.9 meV per atom. The total magnetization comes out at 0.00 μB per formula unit. The energy relative to the lowest polymorph listed for this composition is 0.178 eV/atom. The calculation puts the raw total energy at -2.58 eV per atom.